[1]
! TlGaTc2 | Alexandria | SCAN | PBEsol geometry; values from VASP
! - energy relative to the elements (eV per atom) = 0.5901
&SYSTEM
  ibrav = 0, nat = 4, ntyp = 3
/
ATOMIC_SPECIES
Tc 98.00 Tc.upf
Ga 69.72 Ga.upf
Tl 204.38 Tl.upf
ATOMIC_POSITIONS angstrom
Tc -0.746 1.660 2.034
Tc -2.237 4.980 6.101
Ga 0.000 0.000 0.000
Tl -1.491 3.320 4.068
CELL_PARAMETERS angstrom
-0.451 4.255 1.244
-3.357 1.196 2.676
0.825 1.188 4.215


[2]
! NaSi | Alexandria | SCAN | PBEsol geometry; values from VASP
! - E_form (uncorrected) (eV/atom) = -0.023
&SYSTEM
  ibrav = 0, nat = 16, ntyp = 2
/
ATOMIC_SPECIES
Si 28.09 Si.upf
Na 22.99 Na.upf
ATOMIC_POSITIONS angstrom
Si -10.872 1.744 -0.874
Si -6.662 1.361 1.896
Si -10.653 -0.698 -0.444
Si -6.331 -4.839 0.045
Si -4.437 -3.356 0.179
Si -12.766 0.262 -1.008
Si -6.550 -2.397 -0.385
Si -10.541 -4.456 -2.726
Na -8.018 0.363 -0.650
Na -8.426 -1.277 2.262
Na -6.180 -4.461 -2.774
Na -9.185 -3.458 -0.180
Na -11.023 1.366 1.944
Na -8.777 -1.817 -3.092
Na -12.401 -1.996 1.731
Na -4.802 -1.098 -2.560
CELL_PARAMETERS angstrom
-4.335 -1.192 -4.562
-3.806 -5.558 0.573
-9.061 3.656 3.160


[3]
! CdRuOF2 | Alexandria | SCAN | PBEsol geometry; values from VASP
! - E_form (uncorrected) (eV/atom) = -0.492
&SYSTEM
  ibrav = 0, nat = 5, ntyp = 4
/
ATOMIC_SPECIES
Cd 112.41 Cd.upf
F 19.00 F.upf
Ru 101.07 Ru.upf
O 16.00 O.upf
ATOMIC_POSITIONS angstrom
Cd 0.000 0.000 0.000
F -0.216 0.591 -2.018
F 0.600 -1.927 -0.629
Ru -1.637 -1.974 -2.617
O -2.021 -0.638 0.029
CELL_PARAMETERS angstrom
-0.432 1.183 -4.035
1.199 -3.854 -1.258
-4.042 -1.277 0.058


Number 1: V 15.6 A^3/atom. Number 2: V 23.1 A^3/atom. Number 3: V 15.2 A^3/atom.